(1)
Here is a relaxed YTa2Cl crystal from the Alexandria database. Energies are from GGA-PBE.

Cell and atoms, written as extended XYZ:
```
4
Lattice="3.155 0.081 0.000 -1.044 2.978 0.000 0.000 0.000 9.781" Properties=species:S:1:pos:R:3 pbc="T T T"
Cl 1.055 1.530 6.848
Ta 0.000 0.000 0.514
Ta 1.055 1.530 2.422
Y 0.000 0.000 4.886
```

Values from the calculation:
- Density of states at the Fermi level: 3.94 states/eV/f.u.
- Symmetry: Cmm2
- Magnetic moment: 0.00 μB per cell
- Raw formation energy: -0.07 eV per atom
- E: -0.593 Ry/atom


(2)
Here is a relaxed RbSrSb4 crystal from the Alexandria database. Energies are from GGA-PBE.

Cell and atoms, written as extended XYZ:
```
6
Lattice="-1.769 2.855 -2.890 -4.062 -1.322 1.180 -0.266 8.140 8.202" Properties=species:S:1:pos:R:3 pbc="T T T"
Rb -3.171 8.899 7.324
Sr -4.186 2.740 5.259
Sb -5.008 2.300 1.931
Sb -5.130 6.036 5.696
Sb -2.217 5.269 6.551
Sb -2.095 1.533 2.786
```

Values from the calculation:
- Density of states at the Fermi level: 2.49 states/eV/f.u.
- Symmetry: P4/mmm
- Magnetic moment: 0.00 μB per cell
- Raw formation energy: -0.41 eV per atom
- E: -0.264 Ry/atom


(3)
Here is a relaxed Ho2TmTc crystal from the Alexandria database. Energies are from GGA-PBE.

Cell and atoms, written as extended XYZ:
```
4
Lattice="-1.314 1.608 2.688 0.728 -1.068 3.142 8.365 6.753 2.195" Properties=species:S:1:pos:R:3 pbc="T T T"
Tm 0.000 0.000 0.000
Ho 5.691 4.700 2.117
Ho 2.088 2.593 5.909
Tc 3.889 3.647 4.013
```

Values from the calculation:
- E_form: 0.269 eV per atom
- Density of states at the Fermi level: 5.82 states/eV/f.u.
- Symmetry: R-3m
- Magnetic moment: 0.26 μB per cell
- E: -0.421 Ry/atom


(4)
Here is a relaxed Tl2InF crystal from the Alexandria database. Energies are from GGA-PBE.

Cell and atoms, written as extended XYZ:
```
4
Lattice="-3.147 2.536 3.260 -3.856 2.934 -1.869 -4.932 -1.527 0.563" Properties=species:S:1:pos:R:3 pbc="T T T"
Tl -2.984 0.986 0.489
Tl -8.951 2.958 1.466
F 0.000 0.000 0.000
In -5.967 1.972 0.977
```

Values from the calculation:
- Density of states at the Fermi level: 2.20 states/eV/f.u.
- Symmetry: Fm-3m
- Magnetic moment: 0.00 μB per cell
- Raw formation energy: -0.56 eV per atom
- E: -0.213 Ry/atom